Material: LuSiW2
Method: DFT, PBE
State: optimized geometry

Cell lengths 4.582, 4.582, 4.582 Å; angles 60.00, 60.00, 60.00 degrees
Positions (direct):
Lu 0.250 0.250 0.250
W 0.750 0.750 0.750
W 0.000 0.000 0.000
Si 0.500 0.500 0.500

Properties
SG: F-43m
Final energy, eV/atom: -8.802